This record from Alexandria via LeMat-Bulk describes NpScNiO6 after structural relaxation. The functional is PBE+U.

Symmetry: P-31c (163)
DFT total energy (eV/atom): -8.17

The structure in POSCAR format:
```
NpScNiO6
1.0
5.219 0.000 0.000
-2.610 4.520 0.000
0.000 0.000 9.376
Ni O Sc Np
2 12 2 2
direct
0.667 0.333 0.750
0.333 0.667 0.250
0.333 0.992 0.631
0.992 0.659 0.369
0.333 0.341 0.869
0.667 0.008 0.369
0.341 0.333 0.369
0.008 0.341 0.631
0.992 0.333 0.131
0.008 0.667 0.869
0.341 0.008 0.131
0.659 0.667 0.631
0.659 0.992 0.869
0.667 0.659 0.131
0.000 0.000 0.500
0.000 0.000 0.000
0.333 0.667 0.750
0.667 0.333 0.250
```